Entry 1:
Density functional theory data (GGA-PBE) for a relaxed Dy2S2O crystal.

a = 15.533 Å, b = 3.801 Å, c = 6.728 Å
α = 90.00°, β = 90.00°, γ = 90.00°
Positions (direct):
Dy: 0.041 0.250 0.207
Dy: 0.165 0.250 0.756
Dy: 0.335 0.750 0.256
Dy: 0.459 0.750 0.707
Dy: 0.541 0.250 0.293
Dy: 0.665 0.250 0.744
Dy: 0.835 0.750 0.244
Dy: 0.959 0.750 0.793
S: 0.101 0.750 0.512
S: 0.181 0.750 0.046
S: 0.319 0.250 0.546
S: 0.399 0.250 0.012
S: 0.601 0.750 0.988
S: 0.681 0.750 0.454
S: 0.819 0.250 0.954
S: 0.899 0.250 0.488
O: 0.031 0.250 0.868
O: 0.469 0.750 0.368
O: 0.531 0.250 0.632
O: 0.969 0.750 0.132

Properties
calculated total energy = -7.11 eV/atom
energy above the lowest structure with this stoichiometry = 5 meV per atom


Entry 2:
Density functional theory data (GGA-PBE) for a relaxed DyS2O crystal.

a = 4.460 Å, b = 5.272 Å, c = 6.980 Å
α = 70.24°, β = 73.98°, γ = 89.92°
Positions (direct):
Dy: 0.165 0.161 0.191
Dy: 0.835 0.839 0.809
S: 0.228 0.725 0.050
S: 0.442 0.298 0.509
S: 0.558 0.702 0.491
S: 0.772 0.275 0.950
O: 0.218 0.820 0.503
O: 0.782 0.180 0.497

Properties
calculated total energy = -6.09 eV/atom


Entry 3:
Density functional theory data (GGA-PBE) for a relaxed SmDySO2 crystal.

a = 3.844 Å, b = 3.844 Å, c = 6.647 Å
α = 90.00°, β = 90.00°, γ = 120.00°
Positions (direct):
Sm: 0.000 0.000 0.000
Dy: 0.667 0.333 0.437
S: 0.333 0.667 0.716
O: 0.000 0.000 0.355
O: 0.667 0.333 0.096

Properties
calculated total energy = -7.83 eV/atom